# AcIn4Au3, relaxed, DFT PBE
# Magnetization: 0.00 μB/cell
# Total energy: -3.583 eV per atom
data_AcIn4Au3
_symmetry_space_group_name_H-M 'P 4/m m m'
_symmetry_Int_Tables_number 123
_symmetry_space_group_name_Hall '-P 4 2'
_cell_length_a 4.600
_cell_length_b 4.600
_cell_length_c 9.502
_cell_angle_alpha 90.00
_cell_angle_beta 90.00
_cell_angle_gamma 90.00
loop_
_atom_site_label
_atom_site_fract_x
_atom_site_fract_y
_atom_site_fract_z
Ac1 0.000 0.000 0.000
In1 0.000 0.500 0.322
Au1 0.000 0.000 0.500
Au2 0.500 0.500 0.144

***

# AcInAu4, relaxed, DFT PBE
# Magnetization: 0.00 μB/cell
# ΔE to the lowest computed polymorph: 0 meV/atom
data_AcInAu4
_symmetry_space_group_name_H-M 'F -4 3 m'
_symmetry_Int_Tables_number 216
_symmetry_space_group_name_Hall 'F -4 2 3'
_cell_length_a 8.164
_cell_length_b 8.164
_cell_length_c 8.164
_cell_angle_alpha 90.00
_cell_angle_beta 90.00
_cell_angle_gamma 90.00
loop_
_atom_site_label
_atom_site_fract_x
_atom_site_fract_y
_atom_site_fract_z
Ac1 0.000 0.000 0.000
In1 0.250 0.250 0.250
Au1 0.124 0.124 0.624

***

# Ac4In3Au5, relaxed, DFT PBE
# Magnetization: 0.00 μB/cell
# Total energy: -3.973 eV per atom
data_Ac4In3Au5
_symmetry_space_group_name_H-M 'C 1 2/m 1'
_symmetry_Int_Tables_number 12
_cell_length_a 14.715
_cell_length_b 5.079
_cell_length_c 11.657
_cell_angle_alpha 90.00
_cell_angle_beta 124.61
_cell_angle_gamma 90.00
loop_
_symmetry_equiv_pos_as_xyz
'x,y,z'
'-x,-y,-z'
'-x,y,-z'
'x,-y,z'
'x+1/2,y+1/2,z'
'-x+1/2,-y+1/2,-z'
'-x+1/2,y+1/2,-z'
'x+1/2,-y+1/2,z'
loop_
_atom_site_label
_atom_site_fract_x
_atom_site_fract_y
_atom_site_fract_z
Ac1 0.032 0.000 0.320
Ac2 0.242 0.500 0.266
In1 0.000 0.000 0.000
In2 0.182 0.500 0.926
Au1 0.000 0.500 0.000
Au2 0.085 0.500 0.640
Au3 0.203 0.500 0.511

***

# Ac4InAu7, relaxed, DFT PBE
# Magnetization: 0.00 μB/cell
# Total energy: -4.202 eV per atom
data_Ac4InAu7
_symmetry_space_group_name_H-M 'C 1 2/m 1'
_symmetry_Int_Tables_number 12
_cell_length_a 15.692
_cell_length_b 5.188
_cell_length_c 9.787
_cell_angle_alpha 90.00
_cell_angle_beta 120.79
_cell_angle_gamma 90.00
loop_
_symmetry_equiv_pos_as_xyz
'x,y,z'
'-x,-y,-z'
'-x,y,-z'
'x,-y,z'
'x+1/2,y+1/2,z'
'-x+1/2,-y+1/2,-z'
'-x+1/2,y+1/2,-z'
'x+1/2,-y+1/2,z'
loop_
_atom_site_label
_atom_site_fract_x
_atom_site_fract_y
_atom_site_fract_z
Ac1 0.064 0.000 0.253
Ac2 0.225 0.000 0.763
In1 0.000 0.500 0.500
Au1 0.000 0.000 0.500
Au2 0.109 0.500 0.854
Au3 0.160 0.000 0.039
Au4 0.193 0.500 0.485

***

# AcIn3Au4, relaxed, DFT PBE
# Magnetization: 0.00 μB/cell
# Total energy: -3.611 eV per atom
data_AcIn3Au4
_symmetry_space_group_name_H-M 'R -3 m'
_symmetry_Int_Tables_number 166
_symmetry_space_group_name_Hall '-R 3 2"'
_cell_length_a 4.7002
_cell_length_b 4.7002
_cell_length_c 29.7030
_cell_angle_alpha 90.00
_cell_angle_beta 90.00
_cell_angle_gamma 120.00
loop_
_atom_site_label
_atom_site_fract_x
_atom_site_fract_y
_atom_site_fract_z
Ac1 0.0000 0.0000 0.0000
In1 0.0000 0.0000 0.2434
In2 0.0000 0.0000 0.5000
Au1 0.0000 0.0000 0.1296
Au2 0.0000 0.0000 0.3931

***

# Ac3In4Au2, relaxed, DFT PBE
# Magnetization: 0.00 μB/cell
# Total energy: -3.935 eV per atom
data_Ac3In4Au2
_symmetry_space_group_name_H-M 'C 1 2/m 1'
_symmetry_Int_Tables_number 12
_cell_length_a 12.062
_cell_length_b 4.944
_cell_length_c 9.586
_cell_angle_alpha 90.00
_cell_angle_beta 112.78
_cell_angle_gamma 90.00
loop_
_symmetry_equiv_pos_as_xyz
'x,y,z'
'-x,-y,-z'
'-x,y,-z'
'x,-y,z'
'x+1/2,y+1/2,z'
'-x+1/2,-y+1/2,-z'
'-x+1/2,y+1/2,-z'
'x+1/2,-y+1/2,z'
loop_
_atom_site_label
_atom_site_fract_x
_atom_site_fract_y
_atom_site_fract_z
Ac1 0.000 0.000 0.000
Ac2 0.180 0.500 0.643
In1 0.020 0.000 0.356
In2 0.242 0.500 0.083
Au1 0.102 0.500 0.271

***

# AcIn3Au2, relaxed, DFT PBE
# Magnetization: 0.00 μB/cell
# ΔE to the lowest computed polymorph: 0 meV/atom
data_AcIn3Au2
_symmetry_space_group_name_H-M 'C 1 2/m 1'
_symmetry_Int_Tables_number 12
_cell_length_a 18.498
_cell_length_b 4.596
_cell_length_c 11.179
_cell_angle_alpha 90.00
_cell_angle_beta 105.28
_cell_angle_gamma 90.00
loop_
_symmetry_equiv_pos_as_xyz
'x,y,z'
'-x,-y,-z'
'-x,y,-z'
'x,-y,z'
'x+1/2,y+1/2,z'
'-x+1/2,-y+1/2,-z'
'-x+1/2,y+1/2,-z'
'x+1/2,-y+1/2,z'
loop_
_atom_site_label
_atom_site_fract_x
_atom_site_fract_y
_atom_site_fract_z
Ac1 0.000 0.000 0.000
Ac2 0.159 0.000 0.706
In1 0.000 0.500 0.500
In2 0.039 0.000 0.350
In3 0.124 0.500 0.203
In4 0.172 0.500 0.964
In5 0.209 0.000 0.381
Au1 0.031 0.500 0.796
Au2 0.146 0.500 0.477
Au3 0.198 0.000 0.122

***

# Ac4In2Au, relaxed, DFT PBE
# Magnetization: 0.00 μB/cell
# ΔE to the lowest computed polymorph: 129 meV/atom
data_Ac4In2Au
_symmetry_space_group_name_H-M 'I 4/m m m'
_symmetry_Int_Tables_number 139
_symmetry_space_group_name_Hall '-I 4 2'
_cell_length_a 5.892
_cell_length_b 5.892
_cell_length_c 16.895
_cell_angle_alpha 90.00
_cell_angle_beta 90.00
_cell_angle_gamma 90.00
loop_
_atom_site_label
_atom_site_fract_x
_atom_site_fract_y
_atom_site_fract_z
Ac1 0.000 0.000 0.188
Ac2 0.000 0.500 0.000
In1 0.000 0.000 0.382
Au1 0.000 0.000 0.000